The following is a DFT calculation (PBE) of a relaxed structure of Tb2TmIn3Ir2Au.

abc: 3.872 7.649 7.649
angles: 119.59 90.00 90.00
Element x y z (fractional)
In1 0.500 0.999 0.731
In2 0.500 0.731 0.999
In3 0.500 0.269 0.269
Tb1 0.000 0.409 0.000
Tb2 0.000 0.000 0.409
Au1 0.000 0.999 0.999
Ir1 0.500 0.337 0.666
Ir2 0.500 0.666 0.337
Tm1 0.000 0.590 0.590

Output
VASP energy ... -5.47 eV per atom
Crystal system ... orthorhombic
Calculated density ... 11.9 g/cm3